## MnAlAs2 (PBE-GGA)

Data for crystalline MnAlAs2 at its relaxed geometry.

The space group is I-42d (No. 122) and the conventional cell measures 5.5150, 5.5150 and 11.2490 Å, with angles of 90.00, 90.00 and 90.00 degrees. The inequivalent atoms are Mn at (0.0000, 0.0000, 0.0000), Al at (0.0000, 0.0000, 0.5000) and As at (0.2173, 0.2500, 0.1250).

As for the theoretical density: 4.5 g cm⁻³. For the calculated formation energy, the calculation gives 0.12 eV per atom. As for the crystal system: tetragonal. As for the calculated volume: 21.384 A^3/atom.